YScOsO6 | GGA-PBE | relaxed Values from VASP.

The calculation puts the density of states at the Fermi level at 0.49 states/eV/atom. As for the total magnetization: 2.01 μB/f.u. As for the energy: -8.351 eV per atom. The crystal system is trigonal.

The structure in Quantum ESPRESSO input format:
```
&SYSTEM
  ibrav = 0, nat = 18, ntyp = 4
/
ATOMIC_SPECIES
Sc 44.96 Sc.upf
O 16.00 O.upf
Os 190.23 Os.upf
Y 88.91 Y.upf
ATOMIC_POSITIONS angstrom
Sc 2.6427 1.5258 7.2969
Sc 0.0000 3.0515 2.4323
O 0.8391 1.6759 8.3851
O 1.8037 2.9014 1.3442
O 4.2536 1.5646 1.3442
O 3.4818 2.9014 3.5204
O 3.4145 0.1113 3.5204
O 1.0319 1.5646 3.5204
O -0.7718 4.4660 6.2088
O 1.6109 3.0127 6.2088
O 1.8709 0.1113 1.3442
O -0.8391 1.6759 6.2088
O -1.6109 3.0127 8.3851
O 0.7718 4.4660 8.3851
Os 0.0000 3.0515 7.2969
Os 2.6427 1.5258 2.4323
Y 0.0000 0.0000 4.8646
Y 0.0000 0.0000 0.0000
CELL_PARAMETERS angstrom
5.2854 0.0000 0.0000
-2.6427 4.5773 0.0000
0.0000 0.0000 9.7293
```